(1)
Computed, not measured: an optimized crystal structure of Ta8Re7 at the PBE-GGA level of DFT.

**Crystal system**: tetragonal
**Formation energy**: -0.150 eV per atom
**Density**: 18.1 Mg/m³
**E above lowest polymorph**: 0 meV per atom

a = 9.8321 Å, b = 9.8321 Å, c = 5.2074 Å
α = 90.00°, β = 90.00°, γ = 90.00°
With the nearest neighbours (Å) after each atom.
Sites, in units of the cell vectors:
Ta: 0.0382 0.3662 0.0000  5 Re 2.69-2.84, 1 Ta 2.74
Ta: 0.1338 0.5382 0.5000  5 Re 2.69-2.84, 1 Ta 2.74
Ta: 0.1812 0.8188 0.2488  2 Ta 2.59-2.62, 5 Re 2.84-2.87
Ta: 0.1812 0.8188 0.7512  2 Ta 2.59-2.62, 5 Re 2.84-2.87
Ta: 0.3188 0.3188 0.2512  2 Ta 2.59-2.62, 5 Re 2.84-2.87
Ta: 0.3188 0.3188 0.7488  2 Ta 2.59-2.62, 5 Re 2.84-2.87
Ta: 0.3662 0.0382 0.0000  5 Re 2.69-2.84, 1 Ta 2.74
Ta: 0.4618 0.8662 0.5000  5 Re 2.69-2.84, 1 Ta 2.74
Ta: 0.5382 0.1338 0.5000  5 Re 2.69-2.84, 1 Ta 2.74
Ta: 0.6338 0.9618 0.0000  5 Re 2.69-2.84, 1 Ta 2.74
Ta: 0.6812 0.6812 0.2512  2 Ta 2.59-2.62, 5 Re 2.84-2.87
Ta: 0.6812 0.6812 0.7488  2 Ta 2.59-2.62, 5 Re 2.84-2.87
Ta: 0.8188 0.1812 0.2488  2 Ta 2.59-2.62, 5 Re 2.84-2.87
Ta: 0.8188 0.1812 0.7512  2 Ta 2.59-2.62, 5 Re 2.84-2.87
Ta: 0.8662 0.4618 0.5000  5 Re 2.69-2.84, 1 Ta 2.74
Ta: 0.9618 0.6338 0.0000  5 Re 2.69-2.84, 1 Ta 2.74
Re: 0.0000 0.0000 0.5000  4 Re 2.62, 4 Ta 2.84
Re: 0.0675 0.2574 0.5000  2 Re 2.62-2.64, 8 Ta 2.82-2.87
Re: 0.1000 0.1000 0.0000  2 Ta 2.69, 3 Re 2.78-2.95
Re: 0.2426 0.5675 0.0000  2 Re 2.62-2.64, 8 Ta 2.82-2.87
Re: 0.2574 0.0675 0.5000  2 Re 2.62-2.64, 8 Ta 2.82-2.87
Re: 0.4000 0.6000 0.5000  2 Ta 2.69, 3 Re 2.78-2.95
Re: 0.4325 0.7574 0.0000  2 Re 2.62-2.64, 8 Ta 2.82-2.87
Re: 0.5000 0.5000 0.0000  4 Re 2.62, 4 Ta 2.84
Re: 0.5675 0.2426 0.0000  2 Re 2.62-2.64, 8 Ta 2.82-2.87
Re: 0.6000 0.4000 0.5000  2 Ta 2.69, 3 Re 2.78-2.95
Re: 0.7426 0.9325 0.5000  2 Re 2.62-2.64, 8 Ta 2.82-2.87
Re: 0.7574 0.4325 0.0000  2 Re 2.62-2.64, 8 Ta 2.82-2.87
Re: 0.9000 0.9000 0.0000  2 Ta 2.69, 3 Re 2.78-2.95
Re: 0.9325 0.7426 0.5000  2 Re 2.62-2.64, 8 Ta 2.82-2.87

(2)
Computed, not measured: an optimized crystal structure of SrDyPO at the PBE-GGA level of DFT.

**Crystal system**: tetragonal
**Density**: 5.9 Mg/m³
**E above lowest polymorph**: 143 meV per atom

a = 5.4241 Å, b = 5.4241 Å, c = 5.6970 Å
α = 90.00°, β = 90.00°, γ = 90.00°
With the nearest neighbours (Å) after each atom.
Sites, in units of the cell vectors:
Sr: 0.2500 0.2500 0.0020  4 O 2.71, 2 P 2.85
Sr: 0.7500 0.7500 0.9980  4 O 2.71, 2 P 2.85
Dy: 0.2500 0.7500 0.5000  4 P 2.71, 2 O 2.85
Dy: 0.7500 0.2500 0.5000  4 P 2.71, 2 O 2.85
P: 0.2500 0.2500 0.5023  4 Dy 2.71, 2 Sr 2.85
P: 0.7500 0.7500 0.4977  4 Dy 2.71, 2 Sr 2.85
O: 0.2500 0.7500 0.0000  4 Sr 2.71, 2 Dy 2.85
O: 0.7500 0.2500 0.0000  4 Sr 2.71, 2 Dy 2.85

(3)
Computed, not measured: an optimized crystal structure of TaTeAs at the PBE-GGA level of DFT.

**Crystal system**: cubic
**Energy**: -5.899 eV per atom
**Density**: 9.3 Mg/m³

a = 4.5971 Å, b = 4.5971 Å, c = 4.5971 Å
α = 60.00°, β = 60.00°, γ = 60.00°
With the nearest neighbours (Å) after each atom.
Sites, in units of the cell vectors:
Ta: 0.0000 0.0000 0.0000  4 As 2.82
Te: 0.5000 0.5000 0.5000  4 As 2.82
As: 0.2500 0.2500 0.2500  4 Ta 2.82, 4 Te 2.82

Please write out number 3 again, unchanged.
Computed, not measured: an optimized crystal structure of TaTeAs at the PBE-GGA level of DFT.

**Crystal system**: cubic
**Energy**: -5.899 eV per atom
**Density**: 9.3 Mg/m³

a = 4.5971 Å, b = 4.5971 Å, c = 4.5971 Å
α = 60.00°, β = 60.00°, γ = 60.00°
With the nearest neighbours (Å) after each atom.
Sites, in units of the cell vectors:
Ta: 0.0000 0.0000 0.0000  4 As 2.82
Te: 0.5000 0.5000 0.5000  4 As 2.82
As: 0.2500 0.2500 0.2500  4 Ta 2.82, 4 Te 2.82

- The lowest density belongs to which entry?
  SrDyPO

- Which value of density does entry 2 give?
  5.9 Mg/m³

Please write out number 3 again, unchanged.
Computed, not measured: an optimized crystal structure of TaTeAs at the PBE-GGA level of DFT.

**Crystal system**: cubic
**Energy**: -5.899 eV per atom
**Density**: 9.3 Mg/m³

a = 4.5971 Å, b = 4.5971 Å, c = 4.5971 Å
α = 60.00°, β = 60.00°, γ = 60.00°
With the nearest neighbours (Å) after each atom.
Sites, in units of the cell vectors:
Ta: 0.0000 0.0000 0.0000  4 As 2.82
Te: 0.5000 0.5000 0.5000  4 As 2.82
As: 0.2500 0.2500 0.2500  4 Ta 2.82, 4 Te 2.82